# 1
This record from Alexandria via LeMat-Bulk describes crystalline NbInAgRh at its relaxed geometry. The functional is PBE.

Values from the calculation:
Energy in eV per atom: -5.8285
Space group: F-43m, No. 216
ρ in Mg/m³: 9.90
Total magnetic moment in μB per formula unit: 0.00
DFT formation energy in eV/atom: -0.076

Cell: 4.6310 4.6310 4.6310 Å, 60.00 60.00 60.00°
With the nearest neighbours (Å) after each atom.
Atoms (fractional coordinates):
Nb 0.0000 0.0000 0.0000  4 Rh 2.84, 4 Ag 2.84
In 0.5000 0.5000 0.5000  4 Rh 2.84, 4 Ag 2.84
Ag 0.7500 0.7500 0.7500  4 In 2.84, 4 Nb 2.84
Rh 0.2500 0.2500 0.2500  4 Nb 2.84, 4 In 2.84



# 2
This record from Alexandria via LeMat-Bulk describes crystalline CaScGaHg at its relaxed geometry. The functional is PBE.

Values from the calculation:
Energy in eV per atom: -3.3627
Space group: F-43m, No. 216
ρ in Mg/m³: 6.40
Total magnetic moment in μB per formula unit: 0.00
DFT formation energy in eV/atom: -0.447

Cell: 5.0711 5.0711 5.0711 Å, 60.00 60.00 60.00°
With the nearest neighbours (Å) after each atom.
Atoms (fractional coordinates):
Ca 0.0000 0.0000 0.0000  4 Hg 3.11, 4 Ga 3.11
Sc 0.5000 0.5000 0.5000  4 Hg 3.11, 4 Ga 3.11
Ga 0.2500 0.2500 0.2500  4 Ca 3.11, 4 Sc 3.11
Hg 0.7500 0.7500 0.7500  4 Sc 3.11, 4 Ca 3.11